12
Lattice="7.170 -0.001 0.001 -3.584 6.210 0.001 -1.196 -2.070 6.758" Properties=species:S:1:pos:R:3 comment="GGA-PBE La3Tb2TmP6, relaxed" e_tot_ev_per_atom=-6.66 space_group="C2/m (12)" density_g_cm3=6.012 pbc="T T T"
Tb 3.583 2.071 0.001
Tb 0.003 4.138 0.001
P -0.010 -0.017 5.162
P 2.400 4.156 1.598
P 0.019 4.139 5.167
P 3.576 2.085 5.167
P -1.185 2.053 1.593
P 2.371 -0.001 1.593
Tm 0.000 0.000 0.000
La 4.775 0.002 3.380
La -2.384 4.137 3.380
La 1.195 2.069 3.380